[1]
A relaxed structure of HPt. Source: Alexandria, functional PBE.

a b c (Å): 6.792 6.792 3.858
angles (deg): 90.00 90.00 90.00
Fractional positions:
H 0.293 0.408 0.000
H 0.908 0.207 0.500
H 0.793 0.908 0.500
H 0.408 0.707 0.000
H 0.207 0.092 0.500
H 0.707 0.592 0.000
H 0.092 0.793 0.500
H 0.592 0.293 0.000
Pt 0.639 0.840 0.000
Pt 0.340 0.861 0.500
Pt 0.660 0.139 0.500
Pt 0.160 0.639 0.000
Pt 0.361 0.160 0.000
Pt 0.139 0.340 0.500
Pt 0.861 0.660 0.500
Pt 0.840 0.361 0.000

## Properties
V (Å³/cell): 178.0
M_tot (μB per formula unit): 0.0
Total DFT energy (no corrections) (eV/atom): -4.559
SG: I4/m

***

[2]
A relaxed structure of HPt. Source: Alexandria, functional PBE.

a b c (Å): 2.765 2.765 6.947
angles (deg): 90.96 100.49 120.03
Fractional positions:
H 0.545 0.286 0.830
H 0.455 0.714 0.170
Pt 0.211 0.098 0.309
Pt 0.789 0.902 0.691

## Properties
V (Å³/cell): 44.8
M_tot (μB per formula unit): 0.0
Total DFT energy (no corrections) (eV/atom): -4.632
SG: C2/m

***

[3]
A relaxed structure of HPt8. Source: Alexandria, functional PBE.

a b c (Å): 5.559 5.559 4.818
angles (deg): 90.00 90.00 120.00
Fractional positions:
Pt 0.502 0.998 0.996
Pt 0.667 0.833 0.497
Pt 0.671 0.335 0.504
Pt 0.996 0.998 0.996
Pt 0.502 0.504 0.996
Pt 0.165 0.829 0.504
Pt 0.165 0.335 0.504
Pt 0.000 0.500 0.003
H 0.333 0.167 0.250

## Properties
V (Å³/cell): 128.9
M_tot (μB per formula unit): 0.0
Total DFT energy (no corrections) (eV/atom): -5.655
SG: P-3m1

***

[4]
A relaxed structure of HPt. Source: Alexandria, functional PBE.

a b c (Å): 2.842 2.842 5.637
angles (deg): 90.00 90.00 120.00
Fractional positions:
Pt 0.333 0.667 0.702
Pt 0.667 0.333 0.202
H 0.333 0.667 0.380
H 0.667 0.333 0.880

## Properties
V (Å³/cell): 39.4
M_tot (μB per formula unit): 0.0
Total DFT energy (no corrections) (eV/atom): -4.598
SG: P6_3mc